[1]
Computed, not measured: crystalline CePrY2 at its relaxed geometry at the PBE-GGA level of DFT.

Calculated values
The relative energy among the computed polymorphs comes out at 0.0 meV/atom.

a b c (Å): 3.5878 3.5878 11.8424
angles (deg): 81.29 81.29 60.00
Each line ends with the local moment (μB).
Sites, in units of the cell vectors:
Pr: 0.5000 0.5000 0.5000  0.00
Y: 0.7479 0.7479 0.7564  0.01
Y: 0.2521 0.2521 0.2436  0.01
Ce: 0.0000 0.0000 0.0000  0.63



[2]
Computed, not measured: crystalline CePr8Y6 at its relaxed geometry at the PBE-GGA level of DFT.

a b c (Å): 8.8271 8.8271 8.8271
angles (deg): 62.95 62.95 62.95
Each line ends with the local moment (μB).
Sites, in units of the cell vectors:
Ce: 0.0000 0.0000 0.0000  0.61
Pr: 0.1158 0.7131 0.7602  0.01
Pr: 0.2398 0.8842 0.2869  0.01
Pr: 0.2869 0.2398 0.8842  0.01
Pr: 0.5779 0.5779 0.5779  -0.01
Pr: 0.4221 0.4221 0.4221  -0.01
Pr: 0.7131 0.7602 0.1158  0.01
Pr: 0.7602 0.1158 0.7131  0.01
Pr: 0.8842 0.2869 0.2398  0.01
Y: 0.9060 0.4622 0.7502  0.02
Y: 0.2498 0.0940 0.5378  0.02
Y: 0.5378 0.2498 0.0940  0.02
Y: 0.4622 0.7502 0.9060  0.02
Y: 0.7502 0.9060 0.4622  0.02
Y: 0.0940 0.5378 0.2498  0.02



[3]
Computed, not measured: crystalline CePr2Y at its relaxed geometry at the PBE-GGA level of DFT.

Calculated values
The relative energy among the computed polymorphs comes out at 4.6 meV/atom.

a b c (Å): 3.6043 3.6043 10.3033
angles (deg): 90.00 90.00 90.00
Each line ends with the local moment (μB).
Sites, in units of the cell vectors:
Pr: 0.0000 0.0000 0.7571  -0.01
Pr: 0.0000 0.0000 0.2429  -0.01
Y: 0.5000 0.5000 0.5000  0.00
Ce: 0.5000 0.5000 0.0000  0.52



Calculated values (eV/f.u.) of ΔE_f for the records, taken in order: 0.223 1.765 0.271.